Li2MgRh | PBE | optimized geometry

Summary:
Fermi-level density of states	2.895	states/eV/cell
E_tot	-12.90	eV per cell

Structure (POSCAR):
```
Li2MgRh
1.0
1.518 -2.324 0.000
1.518 2.324 0.000
0.000 0.000 9.319
Li Mg Rh
2 1 1
Cartesian
0.000 0.000 2.003
0.000 0.000 7.316
1.518 0.000 4.659
1.518 0.000 0.000
```

***

LiNdZn4 | PBE | optimized geometry

Summary:
Fermi-level density of states	4.277	states/eV/cell
energy above the most stable polymorph in this dataset	0.000	eV per atom
E_tot	-13.42	eV per cell

Structure (POSCAR):
```
LiNdZn4
1.0
4.425 0.000 0.000
-2.213 3.832 0.000
0.000 0.000 6.668
Li Nd Zn
1 1 4
Cartesian
0.000 0.000 0.000
0.000 0.000 3.334
0.000 2.555 1.372
0.000 2.555 5.296
2.213 1.277 1.372
2.213 1.277 5.296
```

***

CsPa6Te12 | PBE | optimized geometry

Summary:
Fermi-level density of states	26.237	states/eV/cell
raw formation energy	-726	meV/atom
E_tot	-109.33	eV per cell

Structure (POSCAR):
```
CsPa6Te12
1.0
7.343 4.240 3.576
-7.343 4.240 3.576
0.000 -8.480 3.576
Cs Pa Te
1 6 12
Cartesian
0.000 0.000 0.000
0.000 -3.422 4.318
-2.964 1.711 4.318
-2.964 -1.711 6.410
2.964 1.711 4.318
2.964 -1.711 6.410
0.000 3.422 6.410
-2.749 -4.761 5.364
-5.497 0.000 5.364
-1.900 -1.097 3.630
1.900 -1.097 3.630
0.000 2.194 3.630
2.749 -4.761 5.364
-2.749 4.761 5.364
0.000 -2.194 7.098
-1.900 1.097 7.098
1.900 1.097 7.098
5.497 0.000 5.364
2.749 4.761 5.364
```

***

Sm3Pd2Au2 | PBE | optimized geometry

Summary:
Fermi-level density of states	4.593	states/eV/cell
E_tot	-35.83	eV per cell

Structure (POSCAR):
```
Sm3Pd2Au2
1.0
4.917 0.000 0.000
2.454 4.262 0.000
2.458 1.417 8.647
Sm Pd Au
3 2 2
Cartesian
0.000 0.000 0.000
2.450 1.419 2.921
7.378 4.261 5.726
2.466 1.420 5.832
7.363 4.260 2.815
4.920 2.838 7.105
4.909 2.841 1.542
```

***

ZnCu3S | PBE | optimized geometry

Summary:
Fermi-level density of states	2.832	states/eV/cell
raw formation energy	827	meV/atom
energy above the most stable polymorph in this dataset	0.488	eV per atom
E_tot	-13.55	eV per cell

Structure (POSCAR):
```
ZnCu3S
1.0
4.466 0.000 0.000
0.000 4.466 0.000
0.000 0.000 4.466
Zn Cu S
1 3 1
Cartesian
0.000 0.000 0.000
0.000 0.000 2.233
0.000 2.233 0.000
2.233 0.000 0.000
2.233 2.233 2.233
```

***

PmCuSO4 | PBE | optimized geometry

Summary:
raw formation energy	-1677	meV/atom
E_tot	-89.09	eV per cell

Structure (POSCAR):
```
PmCuSO4
1.0
-3.698 3.699 3.910
3.698 -3.699 3.910
3.698 3.699 -3.910
Pm Cu S O
2 2 2 8
Cartesian
-1.849 1.850 1.955
1.849 1.850 1.955
0.000 0.000 0.000
0.000 3.699 0.000
3.698 1.850 -1.313
0.000 1.850 5.223
2.478 1.850 -0.447
4.919 1.850 -0.447
0.000 0.387 1.782
3.698 0.387 2.128
0.000 3.312 1.782
3.698 3.312 2.128
-1.221 1.850 4.357
1.221 1.850 4.357
```

***

no.,theoretical density (g cm⁻³)
1,3.56
2,6.06
3,7.58
4,9.69
5,5.37
6,4.73